[1]
A geometry-optimized MgAgAs structure. Source: the Alexandria database, functional PBE.

Unit cell a=4.4687 b=4.4692 c=7.9397 alpha=90.10 beta=106.27 gamma=119.94
With the nearest neighbours (Å) after each atom.
Space group P1 (No. 1)
One atom of each set of equivalent atoms:
Mg: 0.0000 0.0000 0.0000 (multiplicity 1)  4 As 2.62-2.82
Mg: 0.4653 0.2323 0.6978 (multiplicity 1)  4 As 2.62-2.82
Ag: 0.4895 0.7470 0.2342 (multiplicity 1)  4 As 2.72-2.89
Ag: 0.9752 0.4910 0.4638 (multiplicity 1)  4 As 2.72-2.89
As: 0.2323 0.1189 0.3489 (multiplicity 1)  2 Mg 2.62, 6 Ag 2.72
As: 0.2327 0.6158 0.8489 (multiplicity 1)  6 Mg 2.82, 2 Ag 2.89

Computed properties:
* raw total energy: -3.270 eV per atom

***

[2]
A geometry-optimized MgAg2As structure. Source: the Alexandria database, functional PBE.

Unit cell a=2.9507 b=2.9507 c=8.5893 alpha=90.00 beta=90.00 gamma=90.00
With the nearest neighbours (Å) after each atom.
Space group P4/mmm (No. 123)
One atom of each set of equivalent atoms:
Mg: 0.0000 0.0000 0.0000 (multiplicity 1)  8 Ag 2.92, 4 Mg 2.95
Ag: 0.5000 0.5000 0.2386 (multiplicity 2)  4 Mg 2.92, 4 Ag 2.95, 4 As 3.07
As: 0.0000 0.0000 0.5000 (multiplicity 1)  4 As 2.95, 8 Ag 3.07

Computed properties:
* raw total energy: -2.971 eV per atom

***

In the order shown, the computed V values come out to 21.66, 18.70 Å³/atom.
In the order shown, the computed DFT formation energy values come out to -0.714, 0.063 eV/f.u..